{"formula": "SiPAuO", "functional": "PBE-GGA", "state": "optimized geometry", "energy_ev_per_atom": -5.762, "lattice": [[3.596, 0.000, 0.000], [0.000, 8.163, 0.000], [0.000, 0.000, 5.492]], "species": ["Si", "Si", "P", "P", "Au", "Au", "O", "O"], "frac_coords": [[0.000, 0.109, 0.000], [0.000, 0.891, 0.500], [0.500, 0.268, 0.963], [0.500, 0.732, 0.463], [0.500, 0.492, 0.697], [0.500, 0.508, 0.197], [0.000, 0.023, 0.273], [0.000, 0.977, 0.773]]}